Computed, not measured: a PBEsol-optimized structure of Zn2SbAu at the meta-GGA SCAN level of DFT.

CIF file:
```
data_Zn2SbAu
_cell_length_a 6.669
_cell_length_b 6.669
_cell_length_c 6.669
_cell_angle_alpha 90.00
_cell_angle_beta 90.00
_cell_angle_gamma 90.00
_symmetry_space_group_name_H-M 'F -4 3 m'
_symmetry_Int_Tables_number 216
_symmetry_space_group_name_Hall 'F -4 2 3'
loop_
_atom_site_label
_atom_site_fract_x
_atom_site_fract_y
_atom_site_fract_z
Zn1 0.000 0.000 0.000
Zn2 0.250 0.250 0.250
Sb1 0.250 0.250 0.750
Au1 0.000 0.000 0.500
```

- DOS at the Fermi energy (states/eV/cell) = 5.924
- ΔE_f (raw) (meV/atom) = 202